Record 1
Compound: AcLaHo2
Source: Alexandria
Functional: PBE
Structure: relaxed

Properties
- DFT total energy: -71.3 eV per cell
- Energy relative to the elements: 0.09 eV per atom
- Density of states at the Fermi level: 6.7 states/eV/f.u.

Geometry as CIF:
```
data_AcLaHo2
_cell_length_a 8.324
_cell_length_b 8.324
_cell_length_c 8.324
_cell_angle_alpha 90.00
_cell_angle_beta 90.00
_cell_angle_gamma 90.00
_space_group_name_H-M_alt 'F m -3 m'
_space_group_IT_number 225
_space_group_name_Hall '-F 4 2 3'
loop_
_atom_site_label
_atom_site_fract_x
_atom_site_fract_y
_atom_site_fract_z
Ac1 0.000 0.000 0.000
La1 0.000 0.000 0.500
Ho1 0.250 0.250 0.250
```

Record 2
Compound: Ac2LaHo
Source: Alexandria
Functional: PBE
Structure: relaxed

Properties
- DFT total energy: -50.3 eV per cell
- Energy relative to the elements: 0.24 eV per atom
- Density of states at the Fermi level: 6.5 states/eV/f.u.

Geometry as CIF:
```
data_Ac2LaHo
_cell_length_a 3.7418
_cell_length_b 3.7418
_cell_length_c 39.6545
_cell_angle_alpha 90.00
_cell_angle_beta 90.00
_cell_angle_gamma 120.00
_space_group_name_H-M_alt 'R -3 m'
_space_group_IT_number 166
_space_group_name_Hall '-R 3 2"'
loop_
_atom_site_label
_atom_site_fract_x
_atom_site_fract_y
_atom_site_fract_z
Ac1 0.0000 0.0000 0.0873
La1 0.0000 0.0000 0.5000
Ho1 0.0000 0.0000 0.0000
```

Record 3
Compound: AcLa2Ho
Source: Alexandria
Functional: PBE
Structure: relaxed

Properties
- DFT total energy: -18.5 eV per cell
- Energy relative to the elements: 0.02 eV per atom
- Density of states at the Fermi level: 5.1 states/eV/f.u.

Geometry as CIF:
```
data_AcLa2Ho
_cell_length_a 5.276
_cell_length_b 5.276
_cell_length_c 5.311
_cell_angle_alpha 90.00
_cell_angle_beta 90.00
_cell_angle_gamma 90.00
_space_group_name_H-M_alt 'P 4/m m m'
_space_group_IT_number 123
_space_group_name_Hall '-P 4 2'
loop_
_atom_site_label
_atom_site_fract_x
_atom_site_fract_y
_atom_site_fract_z
Ac1 0.000 0.000 0.000
La1 0.000 0.500 0.500
Ho1 0.500 0.500 0.000
```

Record 4
Compound: Ac4La3Ho2
Source: Alexandria
Functional: PBE
Structure: relaxed

Properties
- DFT total energy: -40.0 eV per cell
- Energy relative to the elements: 0.04 eV per atom
- Density of states at the Fermi level: 16.4 states/eV/f.u.

Geometry as CIF:
```
data_Ac4La3Ho2
_cell_length_a 5.417
_cell_length_b 6.548
_cell_length_c 11.410
_cell_angle_alpha 73.99
_cell_angle_beta 89.99
_cell_angle_gamma 65.63
_space_group_name_H-M_alt 'P -1'
_space_group_IT_number 2
_space_group_name_Hall '-P 1'
loop_
_atom_site_label
_atom_site_fract_x
_atom_site_fract_y
_atom_site_fract_z
Ac1 0.001 0.498 0.332
Ac2 0.333 0.834 0.111
La1 0.000 0.500 0.000
La2 0.332 0.836 0.446
Ho1 0.331 0.838 0.775
```